1.
VASP calculation (PBE) on a relaxed structure of Cd2CoSb.

Calculated values
DOS(E_F): 2.69 states/eV per cell
volume: 81 Å³/cell
formation energy without anion corrections: 0.3375 eV per atom

Cell: 3.8292 3.8310 5.5391 Å, 90.00 90.00 90.00°
Last column: nearest neighbours and their distance in Å.
Fractional positions:
Sb  0.5000  0.5000  0.7500  2 Co 2.77, 8 Cd 3.07
Cd  0.0000  0.0000  0.0125  2 Cd 2.63-2.91
Cd  0.0000  0.0000  0.4875  2 Cd 2.63-2.91
Co  0.5000  0.5000  0.2500  2 Sb 2.77, 8 Cd 3.01


2.
VASP calculation (PBE) on a relaxed structure of CsSiI2.

Calculated values
DOS(E_F): 4.76 states/eV per cell
volume: 159 Å³/cell
formation energy without anion corrections: -0.0293 eV per atom
polymorph energy (0 for the lowest one): 239 meV/atom

Cell: 6.0784 6.0784 6.0784 Å, 60.00 60.00 60.00°
Last column: nearest neighbours and their distance in Å.
Fractional positions:
Cs  0.5000  0.5000  0.5000  8 I 3.72
Si  0.0000  0.0000  0.0000  8 I 3.72
I  0.7500  0.7500  0.7500  4 Si 3.72, 4 Cs 3.72
I  0.2500  0.2500  0.2500  4 Si 3.72, 4 Cs 3.72


3.
VASP calculation (PBE) on a relaxed structure of LaTa2H.

Calculated values
DOS(E_F): 5.86 states/eV per cell
volume: 72 Å³/cell
polymorph energy (0 for the lowest one): 1409 meV/atom

Cell: 4.6745 4.6745 4.6745 Å, 60.00 60.00 60.00°
Last column: nearest neighbours and their distance in Å.
Fractional positions:
Ta  0.7500  0.7500  0.7500  4 La 2.86, 4 H 2.86
Ta  0.2500  0.2500  0.2500  4 La 2.86, 4 H 2.86
H  0.0000  0.0000  0.0000  8 Ta 2.86
La  0.5000  0.5000  0.5000  8 Ta 2.86


4.
VASP calculation (PBE) on a relaxed structure of ErB2C2.

Calculated values
DOS(E_F): 1.01 states/eV per cell
volume: 59 Å³/cell
formation energy from the elements: 0.0521 eV per atom

Cell: 2.8567 2.8567 8.5363 Å, 80.37 80.37 60.00°
Last column: nearest neighbours and their distance in Å.
Fractional positions:
Er  0.0000  0.0000  0.0000  6 C 2.58, 6 B 2.67, 6 Er 2.86
C  0.5875  0.5875  0.2374  3 B 1.65
C  0.4125  0.4125  0.7626  3 B 1.65
B  0.7502  0.7502  0.7494  3 C 1.65
B  0.2498  0.2498  0.2506  3 C 1.65


5.
VASP calculation (PBE) on a relaxed structure of Rb3BaHf.

Calculated values
DOS(E_F): 7.15 states/eV per cell
volume: 391 Å³/cell
formation energy from the elements: 1.5783 eV per atom
polymorph energy (0 for the lowest one): 454 meV/atom

Cell: 7.3139 7.3139 7.3139 Å, 90.00 90.00 90.00°
Last column: nearest neighbours and their distance in Å.
Fractional positions:
Rb  0.0000  0.0000  0.5000  2 Ba 3.66
Rb  0.0000  0.5000  0.0000  2 Ba 3.66
Rb  0.5000  0.0000  0.0000  2 Ba 3.66
Hf  0.5000  0.5000  0.5000  12 Rb 5.17
Ba  0.0000  0.0000  0.0000  6 Rb 3.66


6.
VASP calculation (PBE) on a relaxed structure of InRe2Os.

Calculated values
DOS(E_F): 3.32 states/eV per cell
volume: 64 Å³/cell
formation energy from the elements: 0.5949 eV per atom

Cell: 5.3105 5.3105 5.3105 Å, 146.44 128.73 62.68°
Last column: nearest neighbours and their distance in Å.
Fractional positions:
Re  0.9948  0.9948  0.0000  2 Re 2.65, 4 In 2.76, 2 Os 2.76
Re  0.7566  0.2566  0.5000  2 Re 2.65, 4 Os 2.76, 2 In 2.78
In  0.5004  0.5004  0.0000  2 Os 2.75, 6 Re 2.76-2.78, 2 In 3.07
Os  0.2482  0.7482  0.5000  2 In 2.75, 6 Re 2.76, 2 Os 3.07


7.
VASP calculation (PBE) on a relaxed structure of Rb2LiSBr6.

Calculated values
DOS(E_F): 6.05 states/eV per cell
volume: 313 Å³/cell
formation energy without anion corrections: -0.8710 eV per atom

Cell: 7.6284 7.6284 7.6207 Å, 59.97 59.97 90.00°
Last column: nearest neighbours and their distance in Å.
Fractional positions:
Br  0.2533  0.2533  0.0000  1 Li 2.66, 1 S 2.73
Br  0.7690  0.7690  0.4620  1 S 2.49
Br  0.7467  0.2533  0.0000  1 Li 2.66, 1 S 2.73
Br  0.2533  0.7467  0.0000  1 Li 2.66, 1 S 2.73
Br  0.2310  0.2310  0.5380  1 S 2.49
Br  0.7467  0.7467  0.0000  1 Li 2.66, 1 S 2.73
Rb  0.2500  0.7500  0.5000  12 Br 3.81-3.82
Rb  0.7500  0.2500  0.5000  12 Br 3.81-3.82
S  0.0000  0.0000  0.0000  6 Br 2.49-2.73
Li  0.5000  0.5000  0.0000  6 Br 2.66-2.90


8.
VASP calculation (PBE) on a relaxed structure of TaMoAu2.

Calculated values
DOS(E_F): 2.76 states/eV per cell
volume: 69 Å³/cell
formation energy from the elements: 0.1621 eV per atom
polymorph energy (0 for the lowest one): 133 meV/atom

Cell: 5.1691 5.1691 4.6508 Å, 78.50 78.50 34.70°
Last column: nearest neighbours and their distance in Å.
Fractional positions:
Mo  0.2500  0.2500  0.2500  4 Ta 2.79, 6 Au 2.92-2.94, 2 Mo 3.08
Au  0.5011  0.5011  0.4983  6 Au 2.78-3.08, 3 Mo 2.92-2.94, 3 Ta 2.93-2.95
Au  0.9989  0.9989  0.0017  6 Au 2.78-3.08, 3 Mo 2.92-2.94, 3 Ta 2.93-2.95
Ta  0.7500  0.7500  0.7500  4 Mo 2.79, 6 Au 2.93-2.95, 2 Ta 3.08